A relaxed PuBeGe crystal. Source: the Open Quantum Materials Database, functional GGA-PBE.

The structure in CIF format:
```
data_PuBeGe
_symmetry_space_group_name_H-M 'P 1'
_symmetry_Int_Tables_number 1
_symmetry_space_group_name_Hall 'P 1'
_cell_length_a 4.401
_cell_length_b 4.401
_cell_length_c 4.401
_cell_angle_alpha 60.00
_cell_angle_beta 60.00
_cell_angle_gamma 60.00
loop_
_atom_site_label
_atom_site_type_symbol
_atom_site_fract_x
_atom_site_fract_y
_atom_site_fract_z
Pu1 Pu 0.000 0.000 0.000
Be1 Be 0.500 0.500 0.500
Ge1 Ge 0.750 0.750 0.750
```

Computed properties:
As for the calculated total energy: -7.417 eV/atom.

---

A relaxed ZrS2 crystal. Source: the Open Quantum Materials Database, functional GGA-PBE.

The structure in CIF format:
```
data_ZrS2
_symmetry_space_group_name_H-M 'P 1'
_symmetry_Int_Tables_number 1
_symmetry_space_group_name_Hall 'P 1'
_cell_length_a 3.583
_cell_length_b 3.583
_cell_length_c 35.202
_cell_angle_alpha 90.00
_cell_angle_beta 90.00
_cell_angle_gamma 119.97
loop_
_atom_site_label
_atom_site_type_symbol
_atom_site_fract_x
_atom_site_fract_y
_atom_site_fract_z
Zr1 Zr 0.092 0.908 0.500
Zr2 Zr 0.242 0.758 0.819
Zr3 Zr 0.758 0.242 0.319
Zr4 Zr 0.908 0.092 0.000
S1 S 0.091 0.909 0.364
S2 S 0.092 0.908 0.274
S3 S 0.426 0.574 0.455
S4 S 0.426 0.574 0.545
S5 S 0.574 0.426 0.045
S6 S 0.574 0.426 0.955
S7 S 0.908 0.092 0.774
S8 S 0.909 0.091 0.864
```

Computed properties:
As for the calculated total energy: -6.935 eV/atom.

---

A relaxed Y4Ta2Cu3N3 crystal. Source: the Open Quantum Materials Database, functional GGA-PBE.

The structure in CIF format:
```
data_Y4Ta2Cu3N3
_symmetry_space_group_name_H-M 'P 1'
_symmetry_Int_Tables_number 1
_symmetry_space_group_name_Hall 'P 1'
_cell_length_a 5.834
_cell_length_b 5.834
_cell_length_c 13.999
_cell_angle_alpha 102.32
_cell_angle_beta 102.32
_cell_angle_gamma 60.06
loop_
_atom_site_label
_atom_site_type_symbol
_atom_site_fract_x
_atom_site_fract_y
_atom_site_fract_z
Y1 Y 0.046 0.194 0.109
Y2 Y 0.117 0.298 0.391
Y3 Y 0.194 0.046 0.609
Y4 Y 0.298 0.117 0.891
Y5 Y 0.702 0.883 0.109
Y6 Y 0.806 0.954 0.391
Y7 Y 0.883 0.702 0.609
Y8 Y 0.954 0.806 0.891
Ta1 Ta 0.345 0.525 0.071
Ta2 Ta 0.475 0.655 0.429
Ta3 Ta 0.525 0.345 0.571
Ta4 Ta 0.655 0.475 0.929
Cu1 Cu 0.174 0.826 0.250
Cu2 Cu 0.346 0.415 0.752
Cu3 Cu 0.415 0.346 0.252
Cu4 Cu 0.585 0.654 0.748
Cu5 Cu 0.654 0.585 0.248
Cu6 Cu 0.826 0.174 0.750
N1 N 0.000 0.500 0.000
N2 N 0.188 0.656 0.500
N3 N 0.344 0.812 0.000
N4 N 0.500 0.000 0.500
N5 N 0.656 0.188 0.000
N6 N 0.812 0.344 0.500
```

Computed properties:
As for the calculated total energy: -7.875 eV/atom.

---

A relaxed NbFeOsPb crystal. Source: the Open Quantum Materials Database, functional GGA-PBE.

The structure in CIF format:
```
data_NbFeOsPb
_symmetry_space_group_name_H-M 'P 1'
_symmetry_Int_Tables_number 1
_symmetry_space_group_name_Hall 'P 1'
_cell_length_a 4.585
_cell_length_b 4.585
_cell_length_c 4.585
_cell_angle_alpha 60.00
_cell_angle_beta 60.00
_cell_angle_gamma 60.00
loop_
_atom_site_label
_atom_site_type_symbol
_atom_site_fract_x
_atom_site_fract_y
_atom_site_fract_z
Nb1 Nb 0.000 0.000 0.000
Fe1 Fe 0.500 0.500 0.500
Os1 Os 0.750 0.750 0.750
Pb1 Pb 0.250 0.250 0.250
```

Computed properties:
As for the calculated total energy: -7.761 eV/atom.

---

A relaxed DyGeTe crystal. Source: the Open Quantum Materials Database, functional GGA-PBE.

The structure in CIF format:
```
data_DyGeTe
_symmetry_space_group_name_H-M 'P 1'
_symmetry_Int_Tables_number 1
_symmetry_space_group_name_Hall 'P 1'
_cell_length_a 4.995
_cell_length_b 4.995
_cell_length_c 4.995
_cell_angle_alpha 60.00
_cell_angle_beta 60.00
_cell_angle_gamma 60.00
loop_
_atom_site_label
_atom_site_type_symbol
_atom_site_fract_x
_atom_site_fract_y
_atom_site_fract_z
Dy1 Dy 0.000 0.000 0.000
Ge1 Ge 0.500 0.500 0.500
Te1 Te 0.250 0.250 0.250
```

Computed properties:
As for the calculated total energy: -4.364 eV/atom.

---

A relaxed SrLi2Pd2 crystal. Source: the Open Quantum Materials Database, functional GGA-PBE.

The structure in CIF format:
```
data_SrLi2Pd2
_symmetry_space_group_name_H-M 'P 1'
_symmetry_Int_Tables_number 1
_symmetry_space_group_name_Hall 'P 1'
_cell_length_a 6.338
_cell_length_b 6.338
_cell_length_c 6.338
_cell_angle_alpha 141.22
_cell_angle_beta 141.22
_cell_angle_gamma 56.01
loop_
_atom_site_label
_atom_site_type_symbol
_atom_site_fract_x
_atom_site_fract_y
_atom_site_fract_z
Sr1 Sr 0.000 0.000 0.000
Li1 Li 0.250 0.750 0.500
Li2 Li 0.750 0.250 0.500
Pd1 Pd 0.381 0.381 0.000
Pd2 Pd 0.619 0.619 0.000
```

Computed properties:
As for the calculated total energy: -3.606 eV/atom.

---

A relaxed Pr3Hg3PdAu2 crystal. Source: the Open Quantum Materials Database, functional GGA-PBE.

The structure in CIF format:
```
data_Pr3Hg3PdAu2
_symmetry_space_group_name_H-M 'P 1'
_symmetry_Int_Tables_number 1
_symmetry_space_group_name_Hall 'P 1'
_cell_length_a 3.978
_cell_length_b 8.003
_cell_length_c 8.003
_cell_angle_alpha 120.10
_cell_angle_beta 90.00
_cell_angle_gamma 90.00
loop_
_atom_site_label
_atom_site_type_symbol
_atom_site_fract_x
_atom_site_fract_y
_atom_site_fract_z
Pr1 Pr 0.000 0.000 0.000
Pr2 Pr 0.000 0.392 0.790
Pr3 Pr 0.000 0.790 0.392
Hg1 Hg 0.500 0.136 0.396
Hg2 Hg 0.500 0.396 0.136
Hg3 Hg 0.500 0.652 0.652
Pd1 Pd 0.000 0.393 0.393
Au1 Au 0.500 0.059 0.727
Au2 Au 0.500 0.727 0.059
```

Computed properties:
The calculation puts the formation energy at -0.661 eV per atom.

---

A relaxed Na2TbPrO4 crystal. Source: the Open Quantum Materials Database, functional GGA-PBE.

The structure in CIF format:
```
data_Na2TbPrO4
_symmetry_space_group_name_H-M 'P 1'
_symmetry_Int_Tables_number 1
_symmetry_space_group_name_Hall 'P 1'
_cell_length_a 6.233
_cell_length_b 6.233
_cell_length_c 6.233
_cell_angle_alpha 135.87
_cell_angle_beta 135.87
_cell_angle_gamma 64.18
loop_
_atom_site_label
_atom_site_type_symbol
_atom_site_fract_x
_atom_site_fract_y
_atom_site_fract_z
Na1 Na 0.000 0.000 0.000
Na2 Na 0.750 0.250 0.500
Tb1 Tb 0.250 0.750 0.500
Pr1 Pr 0.500 0.500 0.000
O1 O 0.035 0.535 0.500
O2 O 0.269 0.269 0.000
O3 O 0.465 0.965 0.500
O4 O 0.731 0.731 0.000
```

Computed properties:
As for the calculated total energy: -6.668 eV/atom.

---

A relaxed SnGeW crystal. Source: the Open Quantum Materials Database, functional GGA-PBE.

The structure in CIF format:
```
data_SnGeW
_symmetry_space_group_name_H-M 'P 1'
_symmetry_Int_Tables_number 1
_symmetry_space_group_name_Hall 'P 1'
_cell_length_a 4.443
_cell_length_b 4.443
_cell_length_c 4.443
_cell_angle_alpha 60.00
_cell_angle_beta 60.00
_cell_angle_gamma 60.00
loop_
_atom_site_label
_atom_site_type_symbol
_atom_site_fract_x
_atom_site_fract_y
_atom_site_fract_z
Sn1 Sn 0.000 0.000 0.000
Ge1 Ge 0.250 0.250 0.250
W1 W 0.500 0.500 0.500
```

Computed properties:
As for the calculated total energy: -6.216 eV/atom.

---

A relaxed Ag3SbO4 crystal. Source: the Open Quantum Materials Database, functional GGA-PBE.

The structure in CIF format:
```
data_Ag3SbO4
_symmetry_space_group_name_H-M 'P 1'
_symmetry_Int_Tables_number 1
_symmetry_space_group_name_Hall 'P 1'
_cell_length_a 6.242
_cell_length_b 6.242
_cell_length_c 6.242
_cell_angle_alpha 90.00
_cell_angle_beta 90.00
_cell_angle_gamma 90.00
loop_
_atom_site_label
_atom_site_type_symbol
_atom_site_fract_x
_atom_site_fract_y
_atom_site_fract_z
Ag1 Ag 0.000 0.250 0.500
Ag2 Ag 0.000 0.750 0.500
Ag3 Ag 0.250 0.500 0.000
Ag4 Ag 0.500 0.000 0.250
Ag5 Ag 0.500 0.000 0.750
Ag6 Ag 0.750 0.500 0.000
Sb1 Sb 0.000 0.000 0.000
Sb2 Sb 0.500 0.500 0.500
O1 O 0.178 0.178 0.822
O2 O 0.178 0.822 0.178
O3 O 0.322 0.322 0.322
O4 O 0.322 0.678 0.678
O5 O 0.678 0.322 0.678
O6 O 0.678 0.678 0.322
O7 O 0.822 0.178 0.178
O8 O 0.822 0.822 0.822
```

Computed properties:
As for the calculated total energy: -4.593 eV/atom.

---

A relaxed TbNiGe crystal. Source: the Open Quantum Materials Database, functional GGA-PBE.

The structure in CIF format:
```
data_TbNiGe
_symmetry_space_group_name_H-M 'P 1'
_symmetry_Int_Tables_number 1
_symmetry_space_group_name_Hall 'P 1'
_cell_length_a 4.452
_cell_length_b 4.452
_cell_length_c 4.452
_cell_angle_alpha 60.00
_cell_angle_beta 60.00
_cell_angle_gamma 60.00
loop_
_atom_site_label
_atom_site_type_symbol
_atom_site_fract_x
_atom_site_fract_y
_atom_site_fract_z
Tb1 Tb 0.000 0.000 0.000
Ni1 Ni 0.500 0.500 0.500
Ge1 Ge 0.750 0.750 0.750
```

Computed properties:
As for the calculated total energy: -5.236 eV/atom.

---

A relaxed LaPr2Mg3Pt2Au crystal. Source: the Open Quantum Materials Database, functional GGA-PBE.

The structure in CIF format:
```
data_LaPr2Mg3Pt2Au
_symmetry_space_group_name_H-M 'P 1'
_symmetry_Int_Tables_number 1
_symmetry_space_group_name_Hall 'P 1'
_cell_length_a 4.170
_cell_length_b 7.657
_cell_length_c 7.657
_cell_angle_alpha 119.76
_cell_angle_beta 90.00
_cell_angle_gamma 90.00
loop_
_atom_site_label
_atom_site_type_symbol
_atom_site_fract_x
_atom_site_fract_y
_atom_site_fract_z
La1 La 0.000 0.000 0.000
Pr1 Pr 0.000 0.421 0.838
Pr2 Pr 0.000 0.838 0.421
Mg1 Mg 0.500 0.176 0.423
Mg2 Mg 0.500 0.423 0.176
Mg3 Mg 0.500 0.662 0.662
Pt1 Pt 0.500 0.087 0.757
Pt2 Pt 0.500 0.757 0.087
Au1 Au 0.000 0.421 0.421
```

Computed properties:
As for the calculated total energy: -4.655 eV/atom.